1.
! HoEr2Ir9, relaxed, DFT GGA-PBE; values from VASP
&SYSTEM
  ibrav = 0, nat = 12, ntyp = 3
/
ATOMIC_SPECIES
Ir 192.22 Ir.upf
Er 167.26 Er.upf
Ho 164.93 Ho.upf
CELL_PARAMETERS angstrom
5.292 0.000 0.000
2.646 4.583 0.000
2.646 1.528 8.765
ATOMIC_POSITIONS angstrom
Ir 5.292 3.055 4.382
Ir 6.614 3.819 6.597
Ir 3.969 2.292 2.168
Ir 3.969 3.819 6.597
Ir 7.937 4.583 8.755
Ir 5.292 4.582 2.168
Ir 5.292 1.528 6.597
Ir 6.614 2.292 2.168
Ir 2.646 1.528 0.010
Er 7.937 4.583 3.662
Er 2.646 1.528 5.103
Ho 0.000 0.000 0.000
! DOS at the Fermi energy (states/eV per cell): 12.20
! Crystal system: trigonal
! VASP energy (eV for the cell shown): -100.57
! Spin magnetization (μB per formula unit): 0.0
! E_form (eV per atom): -0.59

---

2.
! Ho3ErIr2, relaxed, DFT GGA-PBE; values from VASP
&SYSTEM
  ibrav = 0, nat = 12, ntyp = 3
/
ATOMIC_SPECIES
Er 167.26 Er.upf
Ho 164.93 Ho.upf
Ir 192.22 Ir.upf
CELL_PARAMETERS angstrom
6.714 0.000 0.000
0.000 7.019 0.000
-3.357 -3.509 6.755
ATOMIC_POSITIONS angstrom
Er 0.000 3.509 0.000
Er 0.000 0.000 0.000
Ho 3.357 -1.755 3.596
Ho 0.000 1.755 3.159
Ho 0.000 5.264 3.159
Ho 3.357 1.755 3.596
Ho 3.357 1.755 0.000
Ho 3.357 5.264 0.000
Ir 1.432 0.000 4.891
Ir -1.432 3.509 4.891
Ir 1.925 3.509 1.864
Ir 4.789 0.000 1.864
! DOS at the Fermi energy (states/eV per cell): 9.83
! Crystal system: orthorhombic
! VASP energy (eV for the cell shown): -80.05
! Spin magnetization (μB per formula unit): 0.0
! E_form (eV per atom): -0.67

---

3.
! HoEr4Ir5, relaxed, DFT GGA-PBE; values from VASP
&SYSTEM
  ibrav = 0, nat = 10, ntyp = 3
/
ATOMIC_SPECIES
Ir 192.22 Ir.upf
Er 167.26 Er.upf
Ho 164.93 Ho.upf
CELL_PARAMETERS angstrom
3.323 0.000 0.000
0.000 3.323 0.000
0.000 0.000 17.743
ATOMIC_POSITIONS angstrom
Ir 1.662 1.662 8.871
Ir 1.662 1.662 1.791
Ir 1.662 1.662 12.412
Ir 1.662 1.662 5.331
Ir 1.662 1.662 15.952
Er 0.000 0.000 10.642
Er 0.000 0.000 3.558
Er 0.000 0.000 14.185
Er 0.000 0.000 7.101
Ho 0.000 0.000 0.000
! DOS at the Fermi energy (states/eV per cell): 2.49
! Crystal system: tetragonal
! VASP energy (eV for the cell shown): -75.84
! Spin magnetization (μB per formula unit): 0.0
! E_form (eV per atom): -0.87

---

> What is the E_form in the second record?

-0.67 eV per atom